# TaPdC3

Crystalline TaPdC3 at its relaxed geometry (PBE, Alexandria).

## Properties
E_tot: -34.787 eV per formula unit
Fermi-level density of states: 4.12 states/eV/f.u.
ΔH_f (0 K): 958 kJ/mol of formula units
Energy relative to the lowest polymorph listed for this composition: 0.0 meV/atom

Cell lengths 4.168, 4.168, 4.168 Å; angles 90.00, 90.00, 90.00 degrees
Atoms (fractional coordinates):
C 0.000 0.000 0.500
C 0.000 0.500 0.000
C 0.500 0.000 0.000
Pd 0.500 0.500 0.500
Ta 0.000 0.000 0.000


# Ta3Pd2C

Crystalline Ta3Pd2C at its relaxed geometry (PBE, Alexandria).

## Properties
E_tot: -57.421 eV per formula unit
Fermi-level density of states: 4.41 states/eV/f.u.
ΔH_f (0 K): -217 kJ/mol of formula units

Cell lengths 7.091, 7.091, 7.091 Å; angles 90.00, 90.00, 90.00 degrees
Atoms (fractional coordinates):
C 0.375 0.375 0.375
C 0.875 0.125 0.625
C 0.125 0.625 0.875
C 0.625 0.875 0.125
Pd 0.936 0.564 0.436
Pd 0.564 0.436 0.936
Pd 0.686 0.686 0.686
Pd 0.436 0.936 0.564
Pd 0.064 0.064 0.064
Pd 0.314 0.186 0.814
Pd 0.186 0.814 0.314
Pd 0.814 0.314 0.186
Ta 0.546 0.625 0.296
Ta 0.625 0.296 0.546
Ta 0.125 0.204 0.454
Ta 0.454 0.125 0.204
Ta 0.375 0.796 0.954
Ta 0.796 0.954 0.375
Ta 0.046 0.875 0.704
Ta 0.704 0.046 0.875
Ta 0.204 0.454 0.125
Ta 0.954 0.375 0.796
Ta 0.296 0.546 0.625
Ta 0.875 0.704 0.046


# Ta2PdC

Crystalline Ta2PdC at its relaxed geometry (PBE, Alexandria).

## Properties
E_tot: -40.022 eV per formula unit
Fermi-level density of states: 2.55 states/eV/f.u.
ΔH_f (0 K): -183 kJ/mol of formula units

Cell lengths 3.102, 3.100, 7.170 Å; angles 90.01, 102.57, 119.98 degrees
Atoms (fractional coordinates):
Pd 0.023 0.753 0.552
Ta 0.571 0.526 0.874
Ta 0.476 0.979 0.229
C 0.023 0.253 0.052


# TaPd2C2

Crystalline TaPd2C2 at its relaxed geometry (PBE, Alexandria).

## Properties
E_tot: -36.730 eV per formula unit
Fermi-level density of states: 5.79 states/eV/f.u.
ΔH_f (0 K): 382 kJ/mol of formula units
Energy relative to the lowest polymorph listed for this composition: 0.0 meV/atom

Cell lengths 3.691, 3.691, 5.082 Å; angles 68.71, 68.71, 90.00 degrees
Atoms (fractional coordinates):
Pd 0.750 0.250 0.500
Pd 0.250 0.750 0.500
Ta 0.000 0.000 0.000
C 0.420 0.420 0.160
C 0.580 0.580 0.840